Entry 1:
VASP calculation (PBE) on an optimized crystal structure of Pr2NdDy4Th.

Computed properties:
- formation enthalpy at 0 K (eV/atom) = 0.03
- total magnetic moment (μB per formula unit) = 0.0

Unit cell a=5.133 b=5.148 c=10.036 alpha=90.00 beta=90.00 gamma=90.00
Sites, in units of the cell vectors:
1 Pr 0.000 0.000 0.000
2 Pr 0.500 0.500 0.500
3 Nd 0.000 0.000 0.500
4 Dy 0.000 0.500 0.244
5 Dy 0.000 0.500 0.756
6 Dy 0.500 0.000 0.244
7 Dy 0.500 0.000 0.756
8 Th 0.500 0.500 0.000

Entry 2:
VASP calculation (PBE) on an optimized crystal structure of Pr3NdDy6Th2.

Computed properties:
- formation enthalpy at 0 K (eV/atom) = 0.02
- total magnetic moment (μB per formula unit) = 0.0

Unit cell a=6.262 b=6.262 c=11.816 alpha=95.08 beta=95.08 gamma=119.98
Sites, in units of the cell vectors:
1 Pr 0.000 0.000 0.000
2 Pr 0.334 0.666 0.000
3 Pr 0.666 0.334 0.000
4 Nd 0.500 0.500 0.500
5 Dy 0.080 0.418 0.255
6 Dy 0.243 0.243 0.745
7 Dy 0.418 0.080 0.255
8 Dy 0.582 0.920 0.745
9 Dy 0.757 0.757 0.255
10 Dy 0.920 0.582 0.745
11 Th 0.167 0.833 0.500
12 Th 0.833 0.167 0.500

Entry 3:
VASP calculation (PBE) on an optimized crystal structure of Pr2NdDy2Th2.

Computed properties:
- formation enthalpy at 0 K (eV/atom) = 0.34
- total magnetic moment (μB per formula unit) = 0.0

Unit cell a=8.276 b=8.276 c=8.836 alpha=93.10 beta=93.10 gamma=24.28
Sites, in units of the cell vectors:
1 Pr 0.179 0.179 0.165
2 Pr 0.821 0.821 0.835
3 Nd 0.500 0.500 0.500
4 Dy 0.180 0.180 0.579
5 Dy 0.820 0.820 0.421
6 Th 0.045 0.045 0.841
7 Th 0.955 0.955 0.159

Entry 4:
VASP calculation (PBE) on an optimized crystal structure of Pr6Nd2DyTh.

Computed properties:
- formation enthalpy at 0 K (eV/atom) = 0.14
- total magnetic moment (μB per formula unit) = 0.0

Unit cell a=8.941 b=8.941 c=10.087 alpha=95.15 beta=95.15 gamma=116.92
Sites, in units of the cell vectors:
1 Pr 0.012 0.579 0.189
2 Pr 0.111 0.748 0.555
3 Pr 0.252 0.889 0.945
4 Pr 0.300 0.505 0.380
5 Pr 0.421 0.988 0.311
6 Pr 0.495 0.700 0.120
7 Pr 0.505 0.300 0.880
8 Pr 0.579 0.012 0.689
9 Pr 0.700 0.495 0.620
10 Pr 0.748 0.111 0.055
11 Pr 0.889 0.252 0.445
12 Pr 0.988 0.421 0.811
13 Nd 0.194 0.284 0.046
14 Nd 0.284 0.194 0.546
15 Nd 0.716 0.806 0.454
16 Nd 0.806 0.716 0.954
17 Dy 0.406 0.594 0.750
18 Dy 0.594 0.406 0.250
19 Th 0.019 0.981 0.250
20 Th 0.981 0.019 0.750

Entry 5:
VASP calculation (PBE) on an optimized crystal structure of PrNd2DyTl4.

Computed properties:
- formation enthalpy at 0 K (eV/atom) = -0.37
- total magnetic moment (μB per formula unit) = 0.0

Unit cell a=9.534 b=9.534 c=9.534 alpha=33.48 beta=33.48 gamma=33.48
Sites, in units of the cell vectors:
1 Pr 0.000 0.000 0.000
2 Nd 0.249 0.249 0.249
3 Nd 0.751 0.751 0.751
4 Dy 0.500 0.500 0.500
5 Tl 0.126 0.126 0.126
6 Tl 0.377 0.377 0.377
7 Tl 0.623 0.623 0.623
8 Tl 0.874 0.874 0.874

Entry 6:
VASP calculation (PBE) on an optimized crystal structure of Pr2Nd6Dy3Tl.

Computed properties:
- formation enthalpy at 0 K (eV/atom) = -0.03
- total magnetic moment (μB per formula unit) = 0.0

Unit cell a=6.249 b=6.249 c=11.982 alpha=95.00 beta=95.00 gamma=120.10
Sites, in units of the cell vectors:
1 Pr 0.166 0.834 0.000
2 Pr 0.834 0.166 0.000
3 Nd 0.090 0.416 0.748
4 Nd 0.258 0.258 0.253
5 Nd 0.416 0.090 0.748
6 Nd 0.584 0.910 0.252
7 Nd 0.742 0.742 0.747
8 Nd 0.910 0.584 0.252
9 Dy 0.000 0.000 0.500
10 Dy 0.333 0.667 0.500
11 Dy 0.667 0.333 0.500
12 Tl 0.500 0.500 0.000

Entry 7:
VASP calculation (PBE) on an optimized crystal structure of PrNdDyTl.

Computed properties:
- formation enthalpy at 0 K (eV/atom) = -0.07
- total magnetic moment (μB per formula unit) = 1.2
- energy above the most stable polymorph in this dataset (meV per atom) = 127.8

Unit cell a=5.607 b=5.607 c=5.607 alpha=60.00 beta=60.00 gamma=60.00
Sites, in units of the cell vectors:
1 Pr 0.000 0.000 0.000
2 Nd 0.500 0.500 0.500
3 Dy 0.250 0.250 0.250
4 Tl 0.750 0.750 0.750

Entry 8:
VASP calculation (PBE) on an optimized crystal structure of PrNdDyTl.

Computed properties:
- formation enthalpy at 0 K (eV/atom) = -0.20
- total magnetic moment (μB per formula unit) = 0.0
- energy above the most stable polymorph in this dataset (meV per atom) = 0.0

Unit cell a=4.915 b=4.932 c=5.044 alpha=90.00 beta=90.00 gamma=90.00
Sites, in units of the cell vectors:
1 Pr 0.000 0.000 0.000
2 Nd 0.500 0.500 0.000
3 Dy 0.500 0.000 0.500
4 Tl 0.000 0.500 0.500

What did the sixth record say?
VASP calculation (PBE) on an optimized crystal structure of Pr2Nd6Dy3Tl.

Computed properties:
- formation enthalpy at 0 K (eV/atom) = -0.03
- total magnetic moment (μB per formula unit) = 0.0

Unit cell a=6.249 b=6.249 c=11.982 alpha=95.00 beta=95.00 gamma=120.10
Sites, in units of the cell vectors:
1 Pr 0.166 0.834 0.000
2 Pr 0.834 0.166 0.000
3 Nd 0.090 0.416 0.748
4 Nd 0.258 0.258 0.253
5 Nd 0.416 0.090 0.748
6 Nd 0.584 0.910 0.252
7 Nd 0.742 0.742 0.747
8 Nd 0.910 0.584 0.252
9 Dy 0.000 0.000 0.500
10 Dy 0.333 0.667 0.500
11 Dy 0.667 0.333 0.500
12 Tl 0.500 0.500 0.000